This record from the Alexandria database describes crystalline BeHBr at its relaxed geometry. The functional is GGA-PBE.

The structure in extended XYZ format:
```
24
Lattice="12.830 0.000 0.000 0.000 5.992 0.000 0.000 0.000 5.793" Properties=species:S:1:pos:R:3 pbc="T T T"
Be 2.217 1.048 0.923
Be 2.217 4.943 3.820
Be 4.198 1.948 3.820
Be 4.198 4.044 0.923
Be 8.631 1.948 4.870
Be 8.631 4.044 1.973
Be 10.613 1.048 1.973
Be 10.613 4.943 4.870
H 1.187 1.717 0.376
H 1.187 4.275 3.273
H 5.228 1.279 3.273
H 5.228 4.713 0.376
H 7.601 1.279 5.417
H 7.601 4.713 2.520
H 11.643 1.717 2.520
H 11.643 4.275 5.417
Br 2.153 1.139 3.210
Br 2.153 4.853 0.314
Br 4.262 1.857 0.314
Br 4.262 4.135 3.210
Br 8.568 1.857 2.583
Br 8.568 4.135 5.479
Br 10.676 1.139 5.479
Br 10.676 4.853 2.583
```

distance to the lowest polymorph of the same formula = 0.282 eV per atom
symmetry = Pbcn
D(E_F) = 0.0000 states/eV per atom

This record from the Alexandria database describes crystalline K2TlSn10 at its relaxed geometry. The functional is GGA-PBE.

The structure in extended XYZ format:
```
26
Lattice="11.595 0.000 0.000 0.000 13.244 0.000 0.000 0.000 6.508" Properties=species:S:1:pos:R:3 pbc="T T T"
K 2.020 0.972 0.000
K 3.777 7.594 0.000
K 7.818 5.650 0.000
K 9.575 12.272 0.000
Tl 0.000 6.622 3.254
Tl 5.798 0.000 3.254
Sn 0.102 3.316 3.254
Sn 1.507 12.590 3.254
Sn 2.344 4.371 1.522
Sn 2.344 4.371 4.987
Sn 2.640 8.667 3.254
Sn 3.157 2.045 3.254
Sn 3.454 10.993 1.522
Sn 3.454 10.993 4.987
Sn 4.291 5.968 3.254
Sn 5.696 9.938 3.254
Sn 5.899 3.306 3.254
Sn 7.304 7.277 3.254
Sn 8.142 2.251 1.522
Sn 8.142 2.251 4.987
Sn 8.438 11.199 3.254
Sn 8.955 4.577 3.254
Sn 9.251 8.873 1.522
Sn 9.251 8.873 4.987
Sn 10.089 0.655 3.254
Sn 11.494 9.928 3.254
```

formation energy from the elements = 0.01 eV per atom
symmetry = Pbam
D(E_F) = 0.3678 states/eV per atom